Record 1
# ReSbI2N

A relaxed structure of ReSbI2N (PBE-GGA, Alexandria).

a b c (Å): 6.2587 6.2587 3.9901
angles (deg): 90.00 90.00 90.00
Closest atoms and distances in Å follow each position.
Space group P4/mmm (No. 123)
Inequivalent atoms, fractional coordinates:
Re1 0.0000 0.0000 0.0000 (multiplicity 1)  8 I 3.71, 2 Re 3.99
Sb1 0.5000 0.5000 0.5000 (multiplicity 1)  2 N 2.00
I1 0.0000 0.5000 0.5000 (multiplicity 2)  2 Sb 3.13
N1 0.5000 0.5000 0.0000 (multiplicity 1)  2 Sb 2.00

Output
distance to the lowest polymorph of the same formula: 1.114 eV per atom
spin magnetization: 5.70 Bohr magnetons per cell

---

Record 2
# NaPuCd2

A relaxed structure of NaPuCd2 (PBE-GGA, Alexandria).

a b c (Å): 7.5372 7.5372 7.5372
angles (deg): 90.00 90.00 90.00
Closest atoms and distances in Å follow each position.
Space group Fm-3m (No. 225)
Inequivalent atoms, fractional coordinates:
Na1 0.0000 0.0000 0.0000 (multiplicity 4)  8 Cd 3.26
Pu1 0.0000 0.0000 0.5000 (multiplicity 4)  8 Cd 3.26
Cd1 0.2500 0.2500 0.2500 (multiplicity 8)  4 Na 3.26, 4 Pu 3.26

Output
E_form: 0.39 eV/f.u.
distance to the lowest polymorph of the same formula: 0.136 eV per atom
spin magnetization: 25.20 Bohr magnetons per cell

---

Record 3
# SmPuO

A relaxed structure of SmPuO (PBE-GGA, Alexandria).

a b c (Å): 3.4455 23.0650 3.5645
angles (deg): 90.00 90.00 90.00
Closest atoms and distances in Å follow each position.
Space group Cmcm (No. 63)
Inequivalent atoms, fractional coordinates:
Sm1 0.0000 0.1821 0.2500 (multiplicity 4)  2 O 2.24
Pu1 0.0000 0.0324 0.7500 (multiplicity 4)  1 O 2.10, 2 Pu 2.33
O1 0.0000 0.1235 0.7500 (multiplicity 4)  1 Pu 2.10, 2 Sm 2.24

Output
distance to the lowest polymorph of the same formula: 0.218 eV per atom
spin magnetization: 3.44 Bohr magnetons per cell

---

Record 4
# Tm8Pb4Se3S

A relaxed structure of Tm8Pb4Se3S (PBE-GGA, Alexandria).

a b c (Å): 14.6606 7.9608 8.7528
angles (deg): 90.00 125.40 90.00
Closest atoms and distances in Å follow each position.
Space group C2/m (No. 12)
Inequivalent atoms, fractional coordinates:
Tm1 0.0037 0.2443 0.2741 (multiplicity 8)  1 S 2.80, 2 Se 2.86-2.95, 3 Pb 3.04-3.12
Tm2 0.2422 0.0000 0.7268 (multiplicity 4)  2 Se 2.86, 1 S 2.90, 3 Pb 3.06-3.09
Tm3 0.2468 0.5000 0.7320 (multiplicity 4)  3 Se 2.86-2.95, 3 Pb 3.03-3.06
Pb1 0.0000 0.0000 0.0000 (multiplicity 2)  6 Tm 3.03-3.06
Pb2 0.0000 0.5000 0.0000 (multiplicity 2)  6 Tm 3.09-3.12
Pb3 0.2500 0.2500 0.0000 (multiplicity 4)  6 Tm 3.04-3.06
Se1 0.0000 0.5000 0.5000 (multiplicity 2)  6 Tm 2.86-2.95
Se2 0.2500 0.2500 0.5000 (multiplicity 4)  6 Tm 2.86-2.95
S1 0.0000 0.0000 0.5000 (multiplicity 2)  6 Tm 2.80-2.90

Output
final energy: -5.113 eV/atom
spin magnetization: 0.00 Bohr magnetons per cell

---

Record 5
# P4RhSe

A relaxed structure of P4RhSe (PBE-GGA, Alexandria).

a b c (Å): 7.3500 7.3500 7.3500
angles (deg): 90.00 90.00 90.00
Closest atoms and distances in Å follow each position.
Space group F-43m (No. 216)
Inequivalent atoms, fractional coordinates:
P1 0.1119 0.1119 0.3881 (multiplicity 16)  3 P 2.33
Rh1 0.0000 0.0000 0.0000 (multiplicity 4)  12 P 3.08, 4 Se 3.18
Se1 0.2500 0.2500 0.7500 (multiplicity 4)  12 P 3.02, 4 Rh 3.18

Output
final energy: -4.607 eV/atom
spin magnetization: 0.01 Bohr magnetons per cell

---

Record 6
# CaGa4Pt6

A relaxed structure of CaGa4Pt6 (PBE-GGA, Alexandria).

a b c (Å): 6.7048 6.7048 9.3605
angles (deg): 90.00 90.00 90.00
Closest atoms and distances in Å follow each position.
Space group I-42m (No. 121)
Inequivalent atoms, fractional coordinates:
Ca1 0.0000 0.0000 0.0000 (multiplicity 2)  4 Ga 3.23, 8 Pt 3.35-3.37
Ga1 0.2049 0.2049 0.6730 (multiplicity 8)  4 Pt 2.41-2.67
Pt1 0.0000 0.5000 0.0000 (multiplicity 4)  4 Pt 2.71, 4 Ga 2.90
Pt2 0.1612 0.1612 0.3912 (multiplicity 8)  4 Ga 2.41-2.67

Output
E_form: -5.50 eV/f.u.
distance to the lowest polymorph of the same formula: 0.261 eV per atom
spin magnetization: 0.00 Bohr magnetons per cell

---

Number 1: calculated density 6.1 g cm⁻³. Number 2: calculated density 7.6 g cm⁻³. Number 3: calculated density 9.6 g cm⁻³. Number 4: calculated density 9.8 g cm⁻³. Number 5: calculated density 5.1 g cm⁻³. Number 6: calculated density 11.8 g cm⁻³.